Below is Tl4TeF2 after structural relaxation, with properties calculated at the GGA-PBE level.

Cell lengths 6.064, 6.064, 15.490 Å; angles 90.00, 90.00, 90.00 degrees
Positions (direct):
Tl 0.000 0.000 0.241
Tl 0.000 0.000 0.759
Tl 0.000 0.500 0.000
Tl 0.000 0.500 0.500
Tl 0.500 0.000 0.000
Tl 0.500 0.000 0.500
Tl 0.500 0.500 0.259
Tl 0.500 0.500 0.741
Te 0.000 0.000 0.500
Te 0.500 0.500 0.000
F 0.000 0.000 0.095
F 0.000 0.000 0.905
F 0.500 0.500 0.405
F 0.500 0.500 0.595

Properties
Total magnetic moment, μB/f.u.: 0.000
E_form (uncorrected), eV/atom: -0.76